VASP calculation (PBE) on crystalline NpU2Al9 at its relaxed geometry.

Calculated values
Formation enthalpy at 0 K in eV per atom: -0.1184

```
data_NpU2Al9
_cell_length_a 4.258
_cell_length_b 4.258
_cell_length_c 12.756
_cell_angle_alpha 90.00
_cell_angle_beta 90.00
_cell_angle_gamma 90.00
_space_group_name_H-M_alt 'P 4/m m m'
_space_group_IT_number 123
_space_group_name_Hall '-P 4 2'
loop_
_atom_site_label
_atom_site_fract_x
_atom_site_fract_y
_atom_site_fract_z
_atom_site_occupancy
Np1 0.000 0.000 0.000 1
U1 0.000 0.000 0.333 1
Al1 0.000 0.500 0.166 1
Al2 0.000 0.500 0.500 1
Al3 0.500 0.500 0.000 1
Al4 0.500 0.500 0.333 1
```